DFT (SCAN) results for ZnHgTe3 at its PBEsol-relaxed geometry.

POSCAR file:
```
ZnHgTe3
1.0
5.5353 0.0000 0.0000
0.0000 5.5353 0.0000
0.0000 0.0000 5.5353
Zn Hg Te
1 1 3
Cartesian
0.0000 0.0000 0.0000
2.7677 2.7677 2.7677
0.0000 2.7677 2.7677
2.7677 0.0000 2.7677
2.7677 2.7677 0.0000
```

- Formation energy (no corrections): 0.7717 eV/atom
- Size of the total moment: 0.0 μB/f.u.
- Mass density: 6.352 Mg/m³